(1)
# RhAu

A geometry-optimized RhAu structure (PBE, Alexandria via LeMat-Bulk).

Lattice parameters (Å, degrees): 4.445 4.445 5.291 90.00 90.00 120.00
Element x y z (fractional)
Rh: 0.667 0.333 0.750
Rh: 0.333 0.667 0.250
Au: 0.333 0.667 0.750
Au: 0.667 0.333 0.250

Values from the calculation:
The energy relative to the elements comes out at 1.003 eV per atom. Its density of states at the Fermi level is 8.5 states/eV/cell. As for the space group: P6_3/mmc, No. 194.

---

(2)
# NbCuPb2O6

A geometry-optimized NbCuPb2O6 structure (PBE, Alexandria via LeMat-Bulk).

Lattice parameters (Å, degrees): 5.301 5.310 9.997 90.00 89.22 90.00
Element x y z (fractional)
O: 0.694 0.284 0.947
O: 0.194 0.216 0.447
O: 0.418 0.048 0.697
O: 0.306 0.716 0.053
O: 0.582 0.952 0.303
O: 0.712 0.307 0.508
O: 0.082 0.548 0.803
O: 0.288 0.693 0.492
O: 0.806 0.784 0.553
O: 0.212 0.193 0.008
O: 0.788 0.807 0.992
O: 0.918 0.452 0.197
Cu: 0.500 0.000 0.000
Cu: 0.000 0.500 0.500
Pb: 0.012 0.024 0.244
Pb: 0.488 0.524 0.256
Pb: 0.512 0.476 0.744
Pb: 0.988 0.976 0.756
Nb: 0.000 0.500 0.000
Nb: 0.500 0.000 0.500

Values from the calculation:
The uncorrected formation energy is -1.42 eV per atom. Its density of states at the Fermi level is 4.2 states/eV/cell. As for the space group: P2_1/c, No. 14.

---

(3)
# BaCaSi

A geometry-optimized BaCaSi structure (PBE, Alexandria via LeMat-Bulk).

Lattice parameters (Å, degrees): 3.993 7.235 7.766 103.67 104.91 90.01
Element x y z (fractional)
Ba: 0.559 0.611 0.880
Ba: 0.319 0.493 0.409
Si: 0.937 0.881 0.639
Si: 0.941 0.222 0.650
Ca: 0.572 0.115 0.910
Ca: 0.306 0.989 0.378

Values from the calculation:
The uncorrected formation energy is -0.24 eV per atom. Its density of states at the Fermi level is 3.4 states/eV/cell. As for the space group: P-1, No. 2. The excess energy over the best structure of this formula in the dataset is 184 meV per atom.

---

(4)
# MnNiAs3

A geometry-optimized MnNiAs3 structure (PBE, Alexandria via LeMat-Bulk).

Lattice parameters (Å, degrees): 4.553 4.553 4.553 90.00 90.00 90.00
Element x y z (fractional)
As: 0.500 0.000 0.000
As: 0.000 0.500 0.000
As: 0.000 0.000 0.500
Ni: 0.500 0.500 0.500
Mn: 0.000 0.000 0.000

Values from the calculation:
The energy relative to the elements comes out at 0.631 eV per atom. Its density of states at the Fermi level is 2.9 states/eV/cell. As for the space group: Pm-3m, No. 221. The excess energy over the best structure of this formula in the dataset is 0 meV per atom.

---

(5)
# Ba3CuF

A geometry-optimized Ba3CuF structure (PBE, Alexandria via LeMat-Bulk).

Lattice parameters (Å, degrees): 5.563 5.563 5.563 90.00 90.00 90.00
Element x y z (fractional)
Ba: 0.000 0.500 0.000
Ba: 0.500 0.000 0.000
Ba: 0.000 0.000 0.500
F: 0.000 0.000 0.000
Cu: 0.500 0.500 0.500

Values from the calculation:
The uncorrected formation energy is -0.84 eV per atom. Its density of states at the Fermi level is 6.3 states/eV/cell. As for the space group: Pm-3m, No. 221. The excess energy over the best structure of this formula in the dataset is 0 meV per atom.

---

(6)
# Nb2CrPdI

A geometry-optimized Nb2CrPdI structure (PBE, Alexandria via LeMat-Bulk).

Lattice parameters (Å, degrees): 4.621 4.909 4.621 90.00 90.00 90.00
Element x y z (fractional)
I: 0.000 0.500 0.000
Pd: 0.500 0.500 0.500
Nb: 0.000 0.000 0.500
Nb: 0.500 0.000 0.000
Cr: 0.000 0.000 0.000

Values from the calculation:
The uncorrected formation energy is 1.17 eV per atom. Its density of states at the Fermi level is 6.5 states/eV/cell. As for the space group: P4/mmm, No. 123.

---

(7)
# YSi2PBr

A geometry-optimized YSi2PBr structure (PBE, Alexandria via LeMat-Bulk).

Lattice parameters (Å, degrees): 4.546 5.359 4.546 90.00 90.00 90.00
Element x y z (fractional)
Si: 0.500 0.000 0.000
Si: 0.000 0.000 0.500
P: 0.000 0.000 0.000
Y: 0.500 0.500 0.500
Br: 0.000 0.500 0.000

Values from the calculation:
The uncorrected formation energy is 0.25 eV per atom. Its density of states at the Fermi level is 3.4 states/eV/cell. As for the space group: P4/mmm, No. 123.

---

(8)
# RbAg4Sn12

A geometry-optimized RbAg4Sn12 structure (PBE, Alexandria via LeMat-Bulk).

Lattice parameters (Å, degrees): 8.515 8.515 8.515 109.47 109.47 109.47
Element x y z (fractional)
Rb: 0.000 0.000 0.000
Sn: 0.647 0.491 0.844
Sn: 0.353 0.509 0.156
Sn: 0.491 0.844 0.647
Sn: 0.509 0.156 0.353
Sn: 0.844 0.353 0.197
Sn: 0.353 0.197 0.844
Sn: 0.647 0.803 0.156
Sn: 0.197 0.844 0.353
Sn: 0.156 0.647 0.803
Sn: 0.803 0.156 0.647
Sn: 0.844 0.647 0.491
Sn: 0.156 0.353 0.509
Ag: 0.000 0.500 0.000
Ag: 0.000 0.000 0.500
Ag: 0.500 0.500 0.500
Ag: 0.500 0.000 0.000

Values from the calculation:
The energy relative to the elements comes out at 0.038 eV per atom. Its density of states at the Fermi level is 10.6 states/eV/cell. As for the space group: Im-3, No. 204.

---

(9)
# YCuBi3

A geometry-optimized YCuBi3 structure (PBE, Alexandria via LeMat-Bulk).

Lattice parameters (Å, degrees): 5.288 5.288 5.288 90.00 90.00 90.00
Element x y z (fractional)
Bi: 0.500 0.000 0.000
Bi: 0.000 0.000 0.500
Bi: 0.000 0.500 0.000
Cu: 0.000 0.000 0.000
Y: 0.500 0.500 0.500

Values from the calculation:
The energy relative to the elements comes out at 0.088 eV per atom. Its density of states at the Fermi level is 3.1 states/eV/cell. As for the space group: Pm-3m, No. 221. The excess energy over the best structure of this formula in the dataset is 0 meV per atom.

---

(10)
# Cs4Pr3ScTe8

A geometry-optimized Cs4Pr3ScTe8 structure (PBE, Alexandria via LeMat-Bulk).

Lattice parameters (Å, degrees): 9.258 10.412 9.258 116.41 120.00 90.00
Element x y z (fractional)
Cs: 0.000 0.000 0.000
Cs: 0.500 0.000 0.500
Cs: 0.500 0.000 0.000
Cs: 0.000 0.000 0.500
Pr: 0.500 0.500 0.000
Pr: 0.500 0.500 0.500
Pr: 0.000 0.500 0.500
Sc: 0.000 0.500 0.000
Te: 0.733 0.699 0.466
Te: 0.221 0.689 0.969
Te: 0.779 0.311 0.031
Te: 0.267 0.301 0.534
Te: 0.252 0.311 0.031
Te: 0.748 0.689 0.969
Te: 0.221 0.690 0.442
Te: 0.779 0.310 0.558

Values from the calculation:
The uncorrected formation energy is -1.36 eV per atom. As for the space group: R-3m, No. 166.

---

(11)
# Pr2NdTl2

A geometry-optimized Pr2NdTl2 structure (PBE, Alexandria via LeMat-Bulk).

Lattice parameters (Å, degrees): 4.759 4.759 8.025 107.14 107.14 90.05
Element x y z (fractional)
Tl: 0.598 0.598 0.194
Tl: 0.402 0.402 0.806
Pr: 0.750 0.250 0.500
Pr: 0.250 0.750 0.500
Nd: 0.000 0.000 0.000

Values from the calculation:
The energy relative to the elements comes out at -0.148 eV per atom. Its density of states at the Fermi level is 5.5 states/eV/cell. As for the space group: C2/m, No. 12. The excess energy over the best structure of this formula in the dataset is 0 meV per atom.

---

(12)
# TbMnGa5Ni2

A geometry-optimized TbMnGa5Ni2 structure (PBE, Alexandria via LeMat-Bulk).

Lattice parameters (Å, degrees): 4.632 4.632 7.021 90.00 90.00 90.00
Element x y z (fractional)
Ni: 0.500 0.500 0.172
Ni: 0.500 0.500 0.828
Ga: 0.500 0.000 0.803
Ga: 0.000 0.500 0.197
Ga: 0.500 0.000 0.197
Ga: 0.500 0.500 0.500
Ga: 0.000 0.500 0.803
Tb: 0.000 0.000 0.500
Mn: 0.000 0.000 0.000

Values from the calculation:
The energy relative to the elements comes out at -0.179 eV per atom. Its density of states at the Fermi level is 4.4 states/eV/cell. As for the space group: P4/mmm, No. 123.